## 1
Density functional theory data (meta-GGA SCAN) for MnAl2Re at its PBEsol-relaxed geometry.

Geometry as extended XYZ:
```
4
Lattice="-1.974 1.974 3.535 1.974 -1.974 3.535 1.974 1.974 -3.535" Properties=species:S:1:pos:R:3 pbc="T T T"
Mn 0.000 0.000 0.000
Al 1.974 0.000 1.767
Al 0.000 1.974 1.767
Re 0.000 0.000 3.535
```

Values from the calculation:
Total magnetic moment = 4.10 μB/cell



## 2
Density functional theory data (meta-GGA SCAN) for MnAl2Re at its PBEsol-relaxed geometry.

Geometry as extended XYZ:
```
4
Lattice="2.968 0.000 0.000 0.000 2.968 0.000 0.000 0.000 5.925" Properties=species:S:1:pos:R:3 pbc="T T T"
Mn 0.000 0.000 0.000
Al 0.000 0.000 2.999
Al 1.484 1.484 4.654
Re 1.484 1.484 1.499
```

Values from the calculation:
Total magnetic moment = 0.00 μB/cell



Most stable structure - 1; separation to the second - 64 meV per atom.



## 1
Density functional theory data (meta-GGA SCAN) for MnAl2Tc at its PBEsol-relaxed geometry.

Geometry as extended XYZ:
```
4
Lattice="-1.840 1.840 3.995 1.840 -1.840 3.995 1.840 1.840 -3.995" Properties=species:S:1:pos:R:3 pbc="T T T"
Mn 0.000 0.000 0.000
Al 1.840 0.000 1.998
Al 0.000 0.000 3.995
Tc 0.000 1.840 1.998
```

Values from the calculation:
Total magnetic moment = 3.60 μB/cell



## 2
Density functional theory data (meta-GGA SCAN) for MnAl2Tc at its PBEsol-relaxed geometry.

Geometry as extended XYZ:
```
4
Lattice="0.000 2.995 2.995 2.995 0.000 2.995 2.995 2.995 0.000" Properties=species:S:1:pos:R:3 pbc="T T T"
Mn 0.000 0.000 0.000
Al 1.498 1.498 1.498
Al 4.493 4.493 4.493
Tc 2.995 2.995 2.995
```

Values from the calculation:
Total magnetic moment = 3.31 μB/cell



Most stable structure - 2; separation to the second - 147 meV per atom.



## 1
Density functional theory data (meta-GGA SCAN) for MnAl2Tc at its PBEsol-relaxed geometry.

Geometry as extended XYZ:
```
4
Lattice="2.967 0.000 0.000 0.000 2.967 0.000 0.000 0.000 5.899" Properties=species:S:1:pos:R:3 pbc="T T T"
Mn 0.000 0.000 0.000
Al 0.000 0.000 2.932
Al 1.484 1.484 4.612
Tc 1.484 1.484 1.470
```

Values from the calculation:
Total magnetic moment = 0.00 μB/cell



## 2
Density functional theory data (meta-GGA SCAN) for MnAl2Tc at its PBEsol-relaxed geometry.

Geometry as extended XYZ:
```
4
Lattice="4.094 0.000 0.000 0.000 4.094 0.000 0.000 0.000 3.225" Properties=species:S:1:pos:R:3 pbc="T T T"
Mn 0.000 0.000 0.000
Al 0.000 2.047 1.612
Al 2.047 0.000 1.612
Tc 2.047 2.047 0.000
```

Values from the calculation:
Total magnetic moment = 3.60 μB/cell



Most stable structure - 2; separation to the second - 189 meV per atom.



## 1
Density functional theory data (meta-GGA SCAN) for MnAlTe at its PBEsol-relaxed geometry.

Geometry as extended XYZ:
```
3
Lattice="0.000 3.008 3.008 3.008 0.000 3.008 3.008 3.008 0.000" Properties=species:S:1:pos:R:3 pbc="T T T"
Mn 0.000 0.000 0.000
Al 4.512 4.512 4.512
Te 1.504 1.504 1.504
```

Values from the calculation:
Total magnetic moment = 2.06 μB/cell



## 2
Density functional theory data (meta-GGA SCAN) for MnAlTe at its PBEsol-relaxed geometry.

Geometry as extended XYZ:
```
3
Lattice="3.256 0.000 0.000 -1.628 2.820 0.000 0.000 0.000 5.923" Properties=species:S:1:pos:R:3 pbc="T T T"
Mn 0.000 0.000 0.000
Al 1.628 0.940 1.714
Te 0.000 1.880 4.184
```

Values from the calculation:
Total magnetic moment = 2.59 μB/cell



Most stable structure - 1; separation to the second - 21 meV per atom.



## 1
Density functional theory data (meta-GGA SCAN) for MnAl2Tl at its PBEsol-relaxed geometry.

Geometry as extended XYZ:
```
4
Lattice="4.519 -1.511 0.000 4.519 1.511 0.000 -1.105 0.000 5.093" Properties=species:S:1:pos:R:3 pbc="T T T"
Mn 0.000 0.000 0.000
Al 3.940 0.000 2.068
Al 6.460 0.000 0.809
Tl 1.491 0.000 3.521
```

Values from the calculation:
Total magnetic moment = 3.45 μB/cell



## 2
Density functional theory data (meta-GGA SCAN) for MnAl2Tl at its PBEsol-relaxed geometry.

Geometry as extended XYZ:
```
4
Lattice="4.110 0.000 0.000 0.000 4.110 0.000 0.000 0.000 4.048" Properties=species:S:1:pos:R:3 pbc="T T T"
Mn 0.000 0.000 0.000
Al 0.000 2.055 2.024
Al 2.055 0.000 2.024
Tl 2.055 2.055 0.000
```

Values from the calculation:
Total magnetic moment = 3.82 μB/cell



Most stable structure - 2; separation to the second - 30 meV per atom.



## 1
Density functional theory data (meta-GGA SCAN) for AlMo2 at its PBEsol-relaxed geometry.

Geometry as extended XYZ:
```
6
Lattice="5.297 -1.311 0.000 5.297 1.311 0.000 -1.653 0.000 6.577" Properties=species:S:1:pos:R:3 pbc="T T T"
Al 1.382 0.000 0.129
Al 7.560 0.000 6.448
Mo 1.035 0.000 4.333
Mo 3.793 0.000 4.526
Mo 5.148 0.000 2.051
Mo 7.906 0.000 2.244
```

Values from the calculation:
Total magnetic moment = 0.00 μB/cell



## 2
Density functional theory data (meta-GGA SCAN) for AlMo2 at its PBEsol-relaxed geometry.

Geometry as extended XYZ:
```
3
Lattice="-1.603 1.603 4.429 1.603 -1.603 4.429 1.603 1.603 -4.429" Properties=species:S:1:pos:R:3 pbc="T T T"
Al 0.000 0.000 0.000
Mo 0.000 0.000 2.863
Mo 0.000 0.000 5.995
```

Values from the calculation:
Total magnetic moment = 0.00 μB/cell



Most stable structure - 2; separation to the second - 325 meV per atom.